SrTl3Pd3, optimized geometry, DFT PBE; energy above the most stable polymorph in this dataset = 59 meV/atom; VASP energy = -3.73 eV/atom; energy relative to the elements = -0.25 eV/atom; calculated volume = 25.8 A^3/atom
1.0
4.373 2.525 5.459
-4.373 2.525 5.459
0.000 -5.049 5.459
Sr Tl Pd
2 6 6
direct
0.173 0.173 0.173
0.827 0.827 0.827
0.088 0.682 0.358
0.318 0.642 0.912
0.358 0.088 0.682
0.642 0.912 0.318
0.682 0.358 0.088
0.912 0.318 0.642
0.164 0.464 0.735
0.265 0.836 0.536
0.464 0.735 0.164
0.536 0.265 0.836
0.735 0.164 0.464
0.836 0.536 0.265

Sr3Tl3Pd2, optimized geometry, DFT PBE; VASP energy = -3.31 eV/atom; energy relative to the elements = -0.49 eV/atom; calculated volume = 29.2 A^3/atom
1.0
2.306 -5.779 0.000
2.306 5.779 0.000
0.000 0.000 17.505
Sr Tl Pd
6 6 4
direct
0.063 0.937 0.607
0.063 0.937 0.893
0.344 0.656 0.750
0.656 0.344 0.250
0.937 0.063 0.107
0.937 0.063 0.393
0.353 0.647 0.537
0.353 0.647 0.963
0.366 0.634 0.250
0.634 0.366 0.750
0.647 0.353 0.037
0.647 0.353 0.463
0.229 0.771 0.114
0.229 0.771 0.386
0.771 0.229 0.614
0.771 0.229 0.886

Sr3Tl2Pd4, optimized geometry, DFT PBE; energy above the most stable polymorph in this dataset = 0 meV/atom; VASP energy = -3.94 eV/atom; energy relative to the elements = -0.54 eV/atom; calculated volume = 26.0 A^3/atom
1.0
5.463 -2.361 0.000
5.463 2.361 0.000
-1.244 0.000 9.072
Sr Tl Pd
3 2 4
direct
0.000 0.000 0.000
0.375 0.375 0.616
0.625 0.625 0.384
0.318 0.318 0.226
0.682 0.682 0.774
0.083 0.083 0.632
0.268 0.268 0.915
0.732 0.732 0.085
0.917 0.917 0.368

Sr3Tl8Pd3, optimized geometry, DFT PBE; VASP energy = -3.14 eV/atom; energy relative to the elements = -0.32 eV/atom; calculated volume = 27.1 A^3/atom
1.0
8.942 -2.590 0.000
8.942 2.590 0.000
-5.239 0.000 8.204
Sr Tl Pd
3 8 3
direct
0.000 0.000 0.000
0.284 0.284 0.286
0.716 0.716 0.714
0.138 0.138 0.838
0.147 0.147 0.443
0.348 0.348 0.960
0.496 0.496 0.665
0.504 0.504 0.335
0.652 0.652 0.040
0.853 0.853 0.557
0.862 0.862 0.162
0.000 0.000 0.500
0.340 0.340 0.670
0.660 0.660 0.330

Sr6TlPd3, optimized geometry, DFT PBE; VASP energy = -3.24 eV/atom; energy relative to the elements = -0.43 eV/atom; calculated volume = 36.0 A^3/atom
1.0
11.224 0.000 0.000
0.000 4.398 0.000
-5.218 0.000 14.599
Sr Tl Pd
12 2 6
direct
0.022 0.250 0.114
0.069 0.750 0.415
0.227 0.250 0.808
0.336 0.250 0.594
0.346 0.250 0.333
0.363 0.750 0.064
0.637 0.250 0.936
0.654 0.750 0.667
0.664 0.750 0.406
0.773 0.750 0.192
0.931 0.250 0.585
0.978 0.750 0.886
0.435 0.750 0.780
0.565 0.250 0.220
0.156 0.750 0.647
0.166 0.250 0.982
0.412 0.750 0.477
0.588 0.250 0.523
0.834 0.750 0.018
0.844 0.250 0.353

Sr6TlPd, optimized geometry, DFT PBE; VASP energy = -2.43 eV/atom; energy relative to the elements = -0.22 eV/atom; calculated volume = 47.7 A^3/atom
1.0
7.952 0.000 0.000
0.000 12.922 0.000
-2.224 0.000 7.427
Sr Tl Pd
12 2 2
direct
0.213 0.167 0.242
0.213 0.833 0.242
0.244 0.500 0.221
0.256 0.000 0.779
0.287 0.333 0.758
0.287 0.667 0.758
0.713 0.333 0.242
0.713 0.667 0.242
0.744 0.000 0.221
0.756 0.500 0.779
0.787 0.167 0.758
0.787 0.833 0.758
0.000 0.500 0.500
0.500 0.000 0.500
0.000 0.000 0.000
0.500 0.500 0.000

Sr3TlPd, optimized geometry, DFT PBE; energy above the most stable polymorph in this dataset = 0 meV/atom; VASP energy = -2.94 eV/atom; energy relative to the elements = -0.42 eV/atom; calculated volume = 36.5 A^3/atom
1.0
8.669 -2.254 0.000
8.669 2.254 0.000
-6.267 0.000 9.336
Sr Tl Pd
6 2 2
direct
0.093 0.093 0.450
0.327 0.327 0.189
0.365 0.365 0.791
0.635 0.635 0.209
0.673 0.673 0.811
0.907 0.907 0.550
0.070 0.070 0.923
0.930 0.930 0.077
0.267 0.267 0.429
0.733 0.733 0.571

Sr2Tl6Pd3, optimized geometry, DFT PBE; VASP energy = -3.30 eV/atom; energy relative to the elements = -0.29 eV/atom; calculated volume = 27.5 A^3/atom
1.0
8.471 0.000 0.000
-4.235 7.336 0.000
0.000 0.000 4.871
Sr Tl Pd
2 6 3
direct
0.333 0.667 0.000
0.667 0.333 0.000
0.000 0.309 0.500
0.000 0.788 0.000
0.212 0.212 0.000
0.309 0.000 0.500
0.691 0.691 0.500
0.788 0.000 0.000
0.000 0.631 0.500
0.369 0.369 0.500
0.631 0.000 0.500